Below is a relaxed Hg2MoS crystal, with properties calculated at the PBE level.

```
Hg2MoS
1.0
-5.606 2.130 7.655
3.658 -7.624 4.801
0.664 -1.436 7.062
Hg S Mo
4 2 2
Direct
0.008 0.625 0.250 Hg
0.375 0.258 0.750 Hg
0.742 0.125 0.250 Hg
0.875 0.992 0.750 Hg
0.500 0.500 0.000 S
0.250 0.750 0.500 S
0.000 0.000 0.000 Mo
0.750 0.250 0.500 Mo
```

Summary:
The value obtained for the calculated volume is 106.7 Å³/f.u. Its density of states at the Fermi level is 0.58 states/eV/atom. For the final energy, the calculation gives -3.538 eV per atom. As for the formation energy without anion corrections: 353 meV/atom.



Below is a relaxed UOs2W crystal, with properties calculated at the PBE level.

```
UOs2W
1.0
3.876 0.000 0.000
0.000 4.177 0.000
0.000 0.000 4.177
W U Os
1 1 2
Direct
0.500 0.500 0.500 W
0.500 0.000 0.000 U
0.000 0.500 0.000 Os
0.000 0.000 0.500 Os
```

Summary:
The value obtained for the calculated volume is 67.6 Å³/f.u. The formation enthalpy at 0 K comes out at 99 meV per atom. Its density of states at the Fermi level is 1.72 states/eV/atom. For the final energy, the calculation gives -11.576 eV per atom.



Below is a relaxed Na5RhO4 crystal, with properties calculated at the PBE level.

```
Na5RhO4
1.0
3.442 0.000 0.000
0.000 5.924 -0.995
-1.721 -1.900 6.843
O Rh Na
4 1 5
Direct
0.000 0.776 0.000 O
0.321 0.821 0.642 O
0.679 0.179 0.358 O
0.000 0.224 0.000 O
0.500 0.000 0.000 Rh
0.500 0.500 0.000 Na
0.830 0.065 0.661 Na
0.830 0.596 0.661 Na
0.170 0.404 0.339 Na
0.170 0.935 0.339 Na
```

Summary:
The value obtained for the calculated volume is 133.0 Å³/f.u. For the final energy, the calculation gives -4.427 eV per atom. As for the formation energy without anion corrections: -1049 meV/atom.



Below is a relaxed CsSn2P2 crystal, with properties calculated at the PBE level.

```
CsSn2P2
1.0
-3.391 3.424 -1.432
0.616 -1.394 -4.791
-6.258 -3.519 -2.418
Sn P Cs
2 2 1
Direct
0.250 0.750 0.500 Sn
0.750 0.250 0.500 Sn
0.330 0.330 0.339 P
0.670 0.670 0.661 P
0.000 0.000 0.000 Cs
```

Summary:
The value obtained for the calculated volume is 169.1 Å³/f.u. The formation enthalpy at 0 K comes out at -113 meV per atom. Its density of states at the Fermi level is 0.25 states/eV/atom. For the final energy, the calculation gives -4.049 eV per atom.